# 1
PBE PrTc2Ge2, relaxed; distance to the lowest polymorph of the same formula = 0.081 eV/atom
1.0
-2.0910 2.0910 5.4473
2.0910 -2.0910 5.4473
2.0910 2.0910 -5.4473
Pr Tc Ge
1 2 2
Cartesian
0.0000 0.0000 0.0000
2.0910 0.0000 2.7237
0.0000 2.0910 2.7237
0.0000 0.0000 4.1035
0.0000 0.0000 6.7911

# 2
A plane-wave DFT calculation with PBE was carried out for an optimized crystal structure of Pr4GeTe3.

```
Pr4GeTe3
1.0
4.5359 -6.3644 0.0000
4.5359 6.3644 0.0000
0.0000 0.0000 4.4604
Pr Ge Te
4 1 3
Cartesian
2.0691 0.0000 2.2302
4.5359 3.3606 0.0000
4.5359 -3.3606 0.0000
7.0026 0.0000 2.2302
0.0000 0.0000 0.0000
2.2679 3.1822 2.2302
2.2679 -3.1822 2.2302
4.5359 0.0000 0.0000
```

# 3
A plane-wave DFT calculation with PBE was carried out for an optimized crystal structure of Pr3GeTe2.

```
Pr3GeTe2
1.0
3.9180 -6.7031 0.0000
3.9180 6.7031 0.0000
-2.5887 0.0000 7.2588
Pr Ge Te
6 2 4
Cartesian
1.9590 3.3515 0.0000
0.4618 1.0079 3.6073
-0.8325 -1.0079 7.2367
0.6646 -3.3515 3.6294
6.0797 1.0079 0.0221
4.7854 -1.0079 3.6515
3.2708 5.5257 1.8147
1.9764 -5.5257 5.4441
1.9764 3.2583 5.4441
3.2708 1.0963 1.8147
1.9764 -1.0963 5.4441
3.2708 -3.2583 1.8147
```

# 4
A plane-wave DFT calculation with PBE was carried out for an optimized crystal structure of PrTlGe.

```
PrTlGe
1.0
0.0000 3.5732 3.5732
3.5732 0.0000 3.5732
3.5732 3.5732 0.0000
Pr Tl Ge
1 1 1
Cartesian
0.0000 0.0000 0.0000
5.3598 5.3598 5.3598
3.5732 3.5732 3.5732
```

# 5
A plane-wave DFT calculation with PBE was carried out for an optimized crystal structure of PrTmGe2.

```
PrTmGe2
1.0
3.2806 0.0000 0.0000
0.0000 2.9655 5.7656
0.0000 -2.9655 5.7656
Pr Tm Ge
1 1 2
Cartesian
0.0000 0.0000 0.0000
0.0000 0.0000 3.4262
0.0000 0.0000 6.1906
0.0000 0.0000 8.6373
```

# 6
PBE PrTmZn2Ge2, relaxed; distance to the lowest polymorph of the same formula = 0.000 eV/atom
1.0
4.2670 0.0000 0.0000
-2.1335 3.6953 0.0000
0.0000 0.0000 15.9656
Pr Tm Zn Ge
2 2 4 4
Cartesian
0.0000 0.0000 0.0000
0.0000 0.0000 7.9828
0.0000 0.0000 3.9914
0.0000 0.0000 11.9742
0.0000 2.4636 2.4751
0.0000 2.4636 5.5077
2.1335 1.2318 10.4580
2.1335 1.2318 13.4905
0.0000 2.4636 9.8898
0.0000 2.4636 14.0587
2.1335 1.2318 1.9070
2.1335 1.2318 6.0759

# 7
A plane-wave DFT calculation with PBE was carried out for an optimized crystal structure of PrUGe.

```
PrUGe
1.0
0.0000 3.5041 3.5041
3.5041 0.0000 3.5041
3.5041 3.5041 0.0000
Pr U Ge
1 1 1
Cartesian
0.0000 0.0000 0.0000
5.2562 5.2562 5.2562
3.5041 3.5041 3.5041
```

# 8
PBE PrGeW, relaxed; distance to the lowest polymorph of the same formula = 0.937 eV/atom
1.0
0.0000 3.4694 3.4694
3.4694 0.0000 3.4694
3.4694 3.4694 0.0000
Pr Ge W
1 1 1
Cartesian
0.0000 0.0000 0.0000
5.2041 5.2041 5.2041
1.7347 1.7347 1.7347

no.,raw total energy (eV/atom),V (Å³/atom)
1,-7.352,19.05
2,-5.516,32.19
3,-5.534,31.77
4,-3.958,30.41
5,-4.566,28.05
6,-4.174,20.98
7,-6.230,28.68
8,-6.001,27.84